Record 1
The following is a DFT calculation (GGA-PBE) of a relaxed structure of Ac6Sm5Dy2.

Formation enthalpy at 0 K: 15.3 kJ/mol of atoms
Total energy: -4.261 eV per atom
Space group: No. 55

abc: 3.753 11.353 23.949
angles: 90.00 90.00 90.00
Element x y z (fractional)
Ac: 0.000 0.852 0.614
Sm: 0.500 0.500 0.000
Ac: 0.000 0.019 0.113
Ac: 0.000 0.981 0.887
Sm: 0.500 0.665 0.503
Sm: 0.500 0.914 0.750
Sm: 0.500 0.414 0.750
Sm: 0.500 0.335 0.497
Ac: 0.500 0.666 0.866
Dy: 0.000 0.164 0.767
Ac: 0.000 0.519 0.387
Sm: 0.500 0.835 0.003
Sm: 0.500 0.165 0.997
Ac: 0.000 0.648 0.114
Dy: 0.000 0.664 0.733
Sm: 0.500 0.086 0.250
Dy: 0.000 0.336 0.267
Ac: 0.500 0.834 0.366
Ac: 0.000 0.352 0.886
Ac: 0.500 0.166 0.634
Sm: 0.500 0.586 0.250
Ac: 0.000 0.148 0.386
Ac: 0.000 0.481 0.613
Dy: 0.000 0.836 0.233
Ac: 0.500 0.334 0.134
Sm: 0.500 0.000 0.500

Record 2
The following is a DFT calculation (GGA-PBE) of a relaxed structure of AcSm5Dy12.

Formation enthalpy at 0 K: 10.3 kJ/mol of atoms
Total energy: -4.500 eV per atom
Space group: No. 12

abc: 11.482 10.393 5.984
angles: 90.21 90.37 56.47
Element x y z (fractional)
Sm: 0.327 0.346 0.000
Dy: 0.983 0.667 0.060
Dy: 0.157 0.335 0.442
Sm: 0.166 0.668 0.500
Sm: 0.500 0.000 0.500
Dy: 0.649 0.333 0.060
Dy: 0.185 0.000 0.543
Sm: 0.834 0.332 0.500
Dy: 0.667 0.000 0.955
Dy: 0.843 0.665 0.558
Dy: 0.815 0.000 0.457
Dy: 0.508 0.335 0.558
Dy: 0.017 0.333 0.940
Dy: 0.492 0.665 0.442
Dy: 0.333 0.000 0.045
Dy: 0.351 0.667 0.940
Ac: 0.000 0.000 0.000
Sm: 0.673 0.654 0.000

Record 3
The following is a DFT calculation (GGA-PBE) of a relaxed structure of Ac4Sm5Dy2.

Formation enthalpy at 0 K: 4.7 kJ/mol of atoms
Total energy: -4.427 eV per atom
Space group: No. 12

abc: 5.334 8.292 11.284
angles: 121.62 103.67 90.00
Element x y z (fractional)
Dy: 0.592 0.735 0.184
Ac: 0.682 0.456 0.364
Sm: 0.500 0.000 0.000
Sm: 0.138 0.085 0.277
Sm: 0.774 0.173 0.548
Sm: 0.862 0.915 0.723
Ac: 0.957 0.642 0.913
Ac: 0.318 0.544 0.636
Sm: 0.226 0.827 0.452
Ac: 0.043 0.358 0.087
Dy: 0.408 0.265 0.816

Record 4
The following is a DFT calculation (GGA-PBE) of a relaxed structure of AcSm2Dy.

Formation enthalpy at 0 K: 12.0 kJ/mol of atoms
Total energy: -4.413 eV per atom
Space group: No. 123
Polymorph energy (0 for the lowest one): 83 meV per atom

abc: 4.204 4.204 8.188
angles: 90.00 90.00 90.00
Element x y z (fractional)
Dy: 0.500 0.500 0.000
Sm: 0.000 0.000 0.781
Sm: 0.000 0.000 0.219
Ac: 0.500 0.500 0.500